The following is a GGA-PBE calculation of a relaxed structure of YIrPdO2, from Alexandria via LeMat-Bulk.

As for the space-group type: P4/mmm (123). Its total magnetization is 0.4 μB per formula unit. For the energy relative to the elements, uncorrected, the calculation gives -0.204 eV per atom.

CIF file:
```
data_YIrPdO2
_chemical_formula_sum 'Y1 Ir1 Pd1 O2'
_cell_length_a 4.0466
_cell_length_b 4.0466
_cell_length_c 4.9248
_cell_angle_alpha 90.00
_cell_angle_beta 90.00
_cell_angle_gamma 90.00
_symmetry_space_group_name_H-M 'P 1'
_symmetry_Int_Tables_number 1
loop_
_symmetry_equiv_pos_as_xyz
'x,y,z'
loop_
_atom_site_label
_atom_site_type_symbol
_atom_site_fract_x
_atom_site_fract_y
_atom_site_fract_z
Y1 Y 0.0000 0.0000 0.0000
Ir1 Ir 0.5000 0.5000 0.0000
Pd1 Pd 0.5000 0.5000 0.5000
O1 O 0.0000 0.5000 0.5000
O2 O 0.5000 0.0000 0.5000
```